Computed, not measured: an optimized crystal structure of As2IrPb at the GGA-PBE level of DFT.

```
As2IrPb
1.0
-2.8870 2.4401 2.3104
2.0918 -1.1679 3.8474
3.3524 3.6141 0.3720
Ir As Pb
1 2 1
Cartesian
2.2803 0.7584 2.0484 Ir
0.1476 1.9050 2.4200 As
2.5385 -0.6638 3.8732 As
2.4047 2.9418 4.1455 Pb
```

Calculated values
Total DFT energy (no corrections)   -0.39142 Ry per atom
Space group   Pm (6)
Spin magnetization   0.0 μB per cell